Entry 1:
# PBE LiHgPb, relaxed
data_LiHgPb
_chemical_formula_sum 'Li1 Hg1 Pb1'
_cell_length_a 4.8311
_cell_length_b 4.8311
_cell_length_c 3.5612
_cell_angle_alpha 90.00
_cell_angle_beta 90.00
_cell_angle_gamma 120.00
_symmetry_space_group_name_H-M 'P 3 m 1'
_symmetry_Int_Tables_number 156
loop_
_symmetry_equiv_pos_as_xyz
'x,y,z'
'-y,x-y,z'
'-x+y,-x,z'
'-y,-x,z'
'-x+y,y,z'
'x,x-y,z'
loop_
_atom_site_label
_atom_site_type_symbol
_atom_site_fract_x
_atom_site_fract_y
_atom_site_fract_z
Li1 Li 0.0000 0.0000 0.0000
Hg1 Hg 0.3333 0.6667 0.9922
Pb1 Pb 0.6667 0.3333 0.4959
# * ΔH_f (0 K): -0.153 eV per atom
# * polymorph energy (0 for the lowest one): 0.18 eV/f.u.
# * magnetic moment: 0.0 μB per cell

Entry 2:
# PBE K2MnMoOs, relaxed
data_K2MnMoOs
_chemical_formula_sum 'K2 Mn1 Mo1 Os1'
_cell_length_a 6.353
_cell_length_b 6.353
_cell_length_c 4.429
_cell_angle_alpha 90.00
_cell_angle_beta 90.00
_cell_angle_gamma 90.00
_symmetry_space_group_name_H-M 'P 4/m m m'
_symmetry_Int_Tables_number 123
_symmetry_space_group_name_Hall '-P 4 2'
loop_
_atom_site_label
_atom_site_type_symbol
_atom_site_fract_x
_atom_site_fract_y
_atom_site_fract_z
K1 K 0.000 0.500 0.000
Mn1 Mn 0.000 0.000 0.500
Mo1 Mo 0.500 0.500 0.500
Os1 Os 0.000 0.000 0.000
# * ΔH_f (0 K): 2.065 eV per atom
# * magnetic moment: 7.8 μB per cell

Entry 3:
# PBE TbEr5Ir6, relaxed
data_TbEr5Ir6
_chemical_formula_sum 'Tb2 Er10 Ir12'
_cell_length_a 4.698
_cell_length_b 14.114
_cell_length_c 7.123
_cell_angle_alpha 90.00
_cell_angle_beta 90.00
_cell_angle_gamma 90.00
_symmetry_space_group_name_H-M 'C m m m'
_symmetry_Int_Tables_number 65
_symmetry_space_group_name_Hall '-C 2 2'
loop_
_atom_site_label
_atom_site_type_symbol
_atom_site_fract_x
_atom_site_fract_y
_atom_site_fract_z
Tb1 Tb 0.000 0.000 0.000
Er1 Er 0.000 0.000 0.500
Er2 Er 0.000 0.333 0.000
Er3 Er 0.000 0.333 0.500
Ir1 Ir 0.000 0.167 0.251
Ir2 Ir 0.000 0.500 0.253
# * ΔH_f (0 K): -0.867 eV per atom
# * magnetic moment: 0.0 μB per cell

Entry 4:
# PBE Tb8CdC4, relaxed
data_Tb8CdC4
_chemical_formula_sum 'Tb16 Cd2 C8'
_cell_length_a 17.773
_cell_length_b 3.637
_cell_length_c 12.251
_cell_angle_alpha 90.00
_cell_angle_beta 132.48
_cell_angle_gamma 90.00
_symmetry_space_group_name_H-M 'C 1 2/m 1'
_symmetry_Int_Tables_number 12
loop_
_symmetry_equiv_pos_as_xyz
'x,y,z'
'-x,-y,-z'
'-x,y,-z'
'x,-y,z'
'x+1/2,y+1/2,z'
'-x+1/2,-y+1/2,-z'
'-x+1/2,y+1/2,-z'
'x+1/2,-y+1/2,z'
loop_
_atom_site_label
_atom_site_type_symbol
_atom_site_fract_x
_atom_site_fract_y
_atom_site_fract_z
Tb1 Tb 0.043 0.000 0.227
Tb2 Tb 0.140 0.500 0.097
Tb3 Tb 0.160 0.500 0.839
Tb4 Tb 0.198 0.500 0.557
Cd1 Cd 0.000 0.000 0.500
C1 C 0.152 0.000 0.970
C2 C 0.171 0.500 0.331
# * ΔH_f (0 K): -0.231 eV per atom
# * magnetic moment: 0.0 μB per cell

Entry 5:
# PBE La3Rh2, relaxed
data_La3Rh2
_chemical_formula_sum 'La24 Rh16'
_cell_length_a 11.110
_cell_length_b 15.127
_cell_length_c 6.372
_cell_angle_alpha 90.00
_cell_angle_beta 90.00
_cell_angle_gamma 90.00
_symmetry_space_group_name_H-M 'F d d 2'
_symmetry_Int_Tables_number 43
_symmetry_space_group_name_Hall 'F 2 -2d'
loop_
_atom_site_label
_atom_site_type_symbol
_atom_site_fract_x
_atom_site_fract_y
_atom_site_fract_z
La1 La 0.000 0.000 0.000
La2 La 0.081 0.288 0.750
Rh1 Rh 0.054 0.375 0.168
# * ΔH_f (0 K): -0.609 eV per atom
# * polymorph energy (0 for the lowest one): 0.31 eV/f.u.
# * magnetic moment: 0.0 μB per cell

Entry 6:
# PBE Zn11Ga17Ag, relaxed
data_Zn11Ga17Ag
_chemical_formula_sum 'Zn22 Ga34 Ag2'
_cell_length_a 10.041
_cell_length_b 14.186
_cell_length_c 8.677
_cell_angle_alpha 90.00
_cell_angle_beta 125.30
_cell_angle_gamma 90.00
_symmetry_space_group_name_H-M 'C 1 m 1'
_symmetry_Int_Tables_number 8
loop_
_symmetry_equiv_pos_as_xyz
'x,y,z'
'x,-y,z'
'x+1/2,y+1/2,z'
'x+1/2,-y+1/2,z'
loop_
_atom_site_label
_atom_site_type_symbol
_atom_site_fract_x
_atom_site_fract_y
_atom_site_fract_z
Zn1 Zn 0.000 0.000 0.000
Zn2 Zn 0.010 0.404 0.407
Zn3 Zn 0.107 0.310 0.981
Zn4 Zn 0.322 0.096 0.793
Zn5 Zn 0.395 0.405 0.176
Zn6 Zn 0.416 0.192 0.603
Ga1 Ga 0.026 0.000 0.516
Ga2 Ga 0.057 0.138 0.797
Ga3 Ga 0.092 0.208 0.489
Ga4 Ga 0.108 0.500 0.108
Ga5 Ga 0.111 0.500 0.782
Ga6 Ga 0.178 0.155 0.211
Ga7 Ga 0.261 0.347 0.377
Ga8 Ga 0.272 0.337 0.793
Ga9 Ga 0.286 0.000 0.471
Ga10 Ga 0.304 0.000 0.072
Ga11 Ga 0.401 0.208 0.101
Ag1 Ag 0.304 0.500 0.608
# * ΔH_f (0 K): 0.021 eV per atom
# * magnetic moment: 0.0 μB per cell

Entry 7:
# PBE BaCaMn2H8, relaxed
data_BaCaMn2H8
_chemical_formula_sum 'Ba1 Ca1 Mn2 H8'
_cell_length_a 4.9033
_cell_length_b 4.9033
_cell_length_c 6.3325
_cell_angle_alpha 90.00
_cell_angle_beta 90.00
_cell_angle_gamma 120.00
_symmetry_space_group_name_H-M 'P -3'
_symmetry_Int_Tables_number 147
loop_
_symmetry_equiv_pos_as_xyz
'x,y,z'
'-x,-y,-z'
'-y,x-y,z'
'y,-x+y,-z'
'-x+y,-x,z'
'x-y,x,-z'
loop_
_atom_site_label
_atom_site_type_symbol
_atom_site_fract_x
_atom_site_fract_y
_atom_site_fract_z
Ba1 Ba 0.0000 0.0000 0.0000
Ca1 Ca 0.0000 0.0000 0.5000
Mn1 Mn 0.3333 0.6667 0.5604
H1 H 0.0465 0.6082 0.3618
H2 H 0.3333 0.6667 0.8297
# * final energy: -4.16 eV/atom
# * magnetic moment: 4.0 μB per cell

Entry 8:
# PBE Be2CrRh, relaxed
data_Be2CrRh
_chemical_formula_sum 'Be4 Cr2 Rh2'
_cell_length_a 2.720
_cell_length_b 3.894
_cell_length_c 7.886
_cell_angle_alpha 90.00
_cell_angle_beta 90.00
_cell_angle_gamma 90.00
_symmetry_space_group_name_H-M 'I m m 2'
_symmetry_Int_Tables_number 44
loop_
_symmetry_equiv_pos_as_xyz
'x,y,z'
'-x,-y,z'
'-x,y,z'
'x,-y,z'
'x+1/2,y+1/2,z+1/2'
'-x+1/2,-y+1/2,z+1/2'
'-x+1/2,y+1/2,z+1/2'
'x+1/2,-y+1/2,z+1/2'
loop_
_atom_site_label
_atom_site_type_symbol
_atom_site_fract_x
_atom_site_fract_y
_atom_site_fract_z
Be1 Be 0.000 0.000 0.000
Be2 Be 0.000 0.500 0.280
Cr1 Cr 0.000 0.000 0.523
Rh1 Rh 0.000 0.500 0.753
# * ΔH_f (0 K): -0.153 eV per atom
# * polymorph energy (0 for the lowest one): 0.46 eV/f.u.
# * magnetic moment: 0.0 μB per cell